# Cs2Hg7

A relaxed structure of Cs2Hg7 (PBE, Alexandria via LeMat-Bulk).

## Properties
final energy: -0.63 eV per atom
symmetry: R-3m

Cell: 16.8157 16.8157 16.8157 Å, 22.94 22.94 22.94°
Last column: nearest neighbours and their distance in Å.
Fractional positions:
Cs 0.0522 0.0522 0.0522  12 Hg 3.86-4.21
Cs 0.1501 0.1501 0.1501  12 Hg 3.89-4.08, 3 Cs 4.19
Cs 0.8499 0.8499 0.8499  12 Hg 3.89-4.08, 3 Cs 4.19
Cs 0.9478 0.9478 0.9478  12 Hg 3.86-4.21
Hg 0.0000 0.5000 0.5000  8 Hg 3.29-3.34
Hg 0.1056 0.6117 0.6117  7 Hg 3.30-3.41
Hg 0.2790 0.2790 0.2790  6 Hg 3.29-3.32
Hg 0.3883 0.3883 0.3883  6 Hg 3.32
Hg 0.3883 0.3883 0.8944  7 Hg 3.30-3.41
Hg 0.3883 0.8944 0.3883  7 Hg 3.30-3.41
Hg 0.5000 0.0000 0.5000  8 Hg 3.29-3.34
Hg 0.5000 0.5000 0.0000  8 Hg 3.29-3.34
Hg 0.5000 0.5000 0.5000  6 Hg 3.41
Hg 0.6117 0.1056 0.6117  7 Hg 3.30-3.41
Hg 0.6117 0.6117 0.1056  7 Hg 3.30-3.41
Hg 0.6117 0.6117 0.6117  6 Hg 3.32
Hg 0.7210 0.7210 0.7210  6 Hg 3.29-3.32
Hg 0.8944 0.3883 0.3883  7 Hg 3.30-3.41